# 1
6
Lattice="3.842 0.000 0.000 -1.921 6.079 0.000 0.000 0.000 7.037" Properties=species:S:1:pos:R:3 comment="PrHoPt GGA-PBE optimized geometry" formation_energy_ev_per_atom=-0.862 dos_ef_per_ev_cell=6.3 e_above_lowest_polymorph_ev_per_atom=0.000 space_group="Cmcm (63)" final_energy_ev_per_atom=-5.9949 pbc="T T T"
Ho 1.921 0.000 3.518
Ho 1.921 0.000 0.000
Pt 0.000 1.260 1.759
Pt 1.921 4.818 5.278
Pr 0.000 2.593 5.278
Pr 1.921 3.486 1.759

=====

# 2
4
Lattice="3.817 0.000 0.000 0.000 3.948 0.000 0.000 0.000 3.948" Properties=species:S:1:pos:R:3 comment="Li2CdOs GGA-PBE optimized geometry" formation_energy_ev_per_atom=0.365 dos_ef_per_ev_cell=1.9 space_group="P4/mmm (123)" final_energy_ev_per_atom=-3.6283 pbc="T T T"
Cd 1.908 0.000 1.974
Li 0.000 0.000 0.000
Li 0.000 1.974 1.974
Os 1.908 1.974 0.000

=====

# 3
5
Lattice="-1.554 -0.739 2.720 1.055 -3.033 -0.222 2.614 0.784 1.707" Properties=species:S:1:pos:R:3 comment="ReNiH3 GGA-PBE optimized geometry" dos_ef_per_ev_cell=3.9 e_above_lowest_polymorph_ev_per_atom=0.000 space_group="Pm-3m (221)" final_energy_ev_per_atom=-5.1694 pbc="T T T"
Re 1.057 -1.494 2.102
H 0.527 -1.516 -0.111
H 1.307 0.392 0.853
H -0.777 -0.370 1.360
Ni 0.000 0.000 0.000